No. 1
Density functional theory data (PBE) for crystalline TiZnPt3 at its relaxed geometry.

Computed properties:
Symmetry: No. 40
Energy relative to the elements in eV/atom: -0.600
Calculated density in Mg/m³: 14.251
Polymorph energy (0 for the lowest one) in eV per atom: 0.0000

abc: 8.497 4.581 4.581
angles: 114.08 90.00 90.00
Fractional coordinates of all 10 atoms:
Ti (0.000, 0.000, 0.000)
Ti (0.500, 0.000, 0.000)
Zn (0.250, 0.494, 0.107)
Zn (0.750, 0.107, 0.494)
Pt (0.064, 0.292, 0.611)
Pt (0.250, 0.833, 0.693)
Pt (0.436, 0.292, 0.611)
Pt (0.564, 0.611, 0.292)
Pt (0.750, 0.693, 0.833)
Pt (0.936, 0.611, 0.292)

No. 2
Density functional theory data (PBE) for crystalline Ti2Zn2Pt at its relaxed geometry.

Computed properties:
Symmetry: No. 71
Energy relative to the elements in eV/atom: -0.349
Calculated density in Mg/m³: 9.043
Polymorph energy (0 for the lowest one) in eV per atom: 0.0997

abc: 7.528 7.528 7.528
angles: 157.34 151.85 36.43
Fractional coordinates of all 5 atoms:
Ti (0.198, 0.198, 0.000)
Ti (0.802, 0.802, 0.000)
Zn (0.405, 0.405, 0.000)
Zn (0.595, 0.595, 0.000)
Pt (0.000, 0.000, 0.000)

No. 3
Density functional theory data (PBE) for crystalline Ti3ZnPt2 at its relaxed geometry.

Computed properties:
Symmetry: No. 71
Energy relative to the elements in eV/atom: -0.345
Calculated density in Mg/m³: 9.807

abc: 8.012 8.012 8.012
angles: 160.03 144.66 40.93
Fractional coordinates of all 6 atoms:
Ti (0.000, 0.000, 0.000)
Ti (0.319, 0.819, 0.500)
Ti (0.681, 0.181, 0.500)
Zn (0.500, 0.000, 0.500)
Pt (0.149, 0.649, 0.500)
Pt (0.851, 0.351, 0.500)

No. 4
Density functional theory data (PBE) for crystalline Ti3ZnPt4 at its relaxed geometry.

Computed properties:
Symmetry: No. 51
Energy relative to the elements in eV/atom: -0.838
Calculated density in Mg/m³: 13.338

abc: 9.169 5.596 4.801
angles: 90.00 90.00 90.00
Fractional coordinates of all 16 atoms:
Ti (0.000, 0.000, 0.000)
Ti (0.250, 0.000, 0.386)
Ti (0.250, 0.500, 0.373)
Ti (0.500, 0.000, 0.000)
Ti (0.750, 0.000, 0.614)
Ti (0.750, 0.500, 0.627)
Zn (0.000, 0.500, 0.000)
Zn (0.500, 0.500, 0.000)
Pt (0.000, 0.250, 0.500)
Pt (0.000, 0.750, 0.500)
Pt (0.250, 0.250, 0.879)
Pt (0.250, 0.750, 0.879)
Pt (0.500, 0.250, 0.500)
Pt (0.500, 0.750, 0.500)
Pt (0.750, 0.250, 0.121)
Pt (0.750, 0.750, 0.121)

No. 5
Density functional theory data (PBE) for crystalline Ti3ZnPt at its relaxed geometry.

Computed properties:
Symmetry: No. 194
Energy relative to the elements in eV/atom: 0.055
Calculated density in Mg/m³: 7.647
Polymorph energy (0 for the lowest one) in eV per atom: 0.0000

abc: 6.774 6.774 4.415
angles: 90.00 90.00 120.00
Fractional coordinates of all 10 atoms:
Ti (0.198, 0.396, 0.250)
Ti (0.198, 0.802, 0.250)
Ti (0.396, 0.198, 0.750)
Ti (0.604, 0.802, 0.250)
Ti (0.802, 0.198, 0.750)
Ti (0.802, 0.604, 0.750)
Zn (0.000, 0.000, 0.000)
Zn (0.000, 0.000, 0.500)
Pt (0.333, 0.667, 0.750)
Pt (0.667, 0.333, 0.250)

No. 6
Density functional theory data (PBE) for crystalline TiZnPt3 at its relaxed geometry.

Computed properties:
Symmetry: No. 221
Energy relative to the elements in eV/atom: 0.520
Calculated density in Mg/m³: 12.141
Polymorph energy (0 for the lowest one) in eV per atom: 1.1198

abc: 4.572 4.572 4.572
angles: 90.00 90.00 90.00
Fractional coordinates of all 5 atoms:
Ti (0.000, 0.000, 0.000)
Zn (0.500, 0.500, 0.500)
Pt (0.000, 0.500, 0.500)
Pt (0.500, 0.000, 0.500)
Pt (0.500, 0.500, 0.000)